Compound: CsCd2Cl5
Source: Alexandria
Functional: PBE
Structure: relaxed

Cell lengths 5.7412, 6.8386, 13.4087 Å; angles 90.00, 90.00, 114.82 degrees
Last column: nearest neighbours and their distance in Å.
Fractional positions:
Cs1 0.4931 0.9862 0.7500  7 Cl 3.41-3.66
Cs2 0.5069 0.0138 0.2500  7 Cl 3.41-3.66
Cd1 0.8521 0.7041 0.4434  4 Cl 2.58-2.70
Cd2 0.8521 0.7041 0.0566  4 Cl 2.58-2.70
Cd3 0.1479 0.2959 0.5566  4 Cl 2.58-2.70
Cd4 0.1479 0.2959 0.9434  4 Cl 2.58-2.70
Cl1 0.9510 0.9020 0.8821  2 Cd 2.58-2.64
Cl2 0.9510 0.9020 0.6179  2 Cd 2.58-2.64
Cl3 0.3346 0.6691 0.4715  1 Cd 2.58
Cl4 0.3346 0.6691 0.0285  1 Cd 2.58
Cl5 0.7912 0.5824 0.2500  2 Cd 2.70
Cl6 0.2088 0.4176 0.7500  2 Cd 2.70
Cl7 0.6654 0.3309 0.5285  1 Cd 2.58
Cl8 0.6654 0.3309 0.9715  1 Cd 2.58
Cl9 0.0490 0.0980 0.1179  2 Cd 2.58-2.64
Cl10 0.0490 0.0980 0.3821  2 Cd 2.58-2.64

crystal system	orthorhombic
DOS at the Fermi energy	0.000	states/eV per cell
magnetic moment	0.00	μB per atom
mass density	3.72	g cm⁻³
energy	-22.34	eV/f.u.

***

Compound: CsCd5Cl11
Source: Alexandria
Functional: PBE
Structure: relaxed

Cell lengths 8.2701, 8.6412, 8.6412 Å; angles 109.46, 104.02, 104.02 degrees
Last column: nearest neighbours and their distance in Å.
Fractional positions:
Cs1 0.0000 0.0000 0.0000  8 Cl 3.61-3.90
Cd1 0.6291 0.0797 0.3692  4 Cl 2.50-2.70
Cd2 0.3709 0.9203 0.6308  4 Cl 2.50-2.70
Cd3 0.3709 0.6308 0.9203  4 Cl 2.50-2.70
Cd4 0.6291 0.3692 0.0797  4 Cl 2.50-2.70
Cd5 0.0000 0.5000 0.5000  6 Cl 2.63-2.76
Cl1 0.3662 0.6047 0.6047  3 Cd 2.65-2.76
Cl2 0.6338 0.3953 0.3953  3 Cd 2.65-2.76
Cl3 0.6732 0.1316 0.7048  2 Cd 2.50-2.70
Cl4 0.3268 0.8684 0.2952  2 Cd 2.50-2.70
Cl5 0.3268 0.2952 0.8684  2 Cd 2.50-2.70
Cl6 0.6732 0.7048 0.1316  2 Cd 2.50-2.70
Cl7 0.5000 0.0000 0.0000  4 Cd 2.88
Cl8 0.0436 0.8322 0.5760  2 Cd 2.50-2.63
Cl9 0.9564 0.1678 0.4240  2 Cd 2.50-2.63
Cl10 0.9564 0.4240 0.1678  2 Cd 2.50-2.63
Cl11 0.0436 0.5760 0.8322  2 Cd 2.50-2.63

crystal system	monoclinic
DOS at the Fermi energy	0.000	states/eV per cell
magnetic moment	0.00	μB per atom
mass density	3.41	g cm⁻³
energy	-45.65	eV/f.u.

***

Compound: Cs3Cd2Cl7
Source: Alexandria
Functional: PBE
Structure: relaxed

Cell lengths 5.2904, 5.4055, 13.9315 Å; angles 101.19, 90.00, 90.00 degrees
Last column: nearest neighbours and their distance in Å.
Fractional positions:
Cs1 0.5000 0.5000 0.0000  12 Cl 3.70-3.78
Cs2 0.5000 0.6821 0.3641  8 Cl 3.56-3.79
Cs3 0.5000 0.3179 0.6359  8 Cl 3.56-3.79
Cd1 0.0000 0.9018 0.8035  6 Cl 2.59-2.70
Cd2 0.0000 0.0982 0.1965  6 Cl 2.59-2.70
Cl1 0.0000 0.4053 0.8105  2 Cd 2.70
Cl2 0.0000 0.8071 0.6142  1 Cd 2.59
Cl3 0.0000 0.0000 0.0000  2 Cd 2.69
Cl4 0.0000 0.5947 0.1895  2 Cd 2.70
Cl5 0.5000 0.0953 0.1906  2 Cd 2.65
Cl6 0.5000 0.9047 0.8094  2 Cd 2.65
Cl7 0.0000 0.1929 0.3858  1 Cd 2.59

crystal system	orthorhombic
DOS at the Fermi energy	0.000	states/eV per cell
magnetic moment	0.00	μB per atom
mass density	3.70	g cm⁻³
energy	-35.99	eV/f.u.

***

Compound: Cs3Cd5Cl12
Source: Alexandria
Functional: PBE
Structure: relaxed

Cell lengths 15.1977, 15.1977, 15.1977 Å; angles 109.47, 109.47, 109.47 degrees
Last column: nearest neighbours and their distance in Å.
Fractional positions:
Cs1 0.7500 0.3750 0.1250  8 Cl 3.50-3.62
Cs2 0.8750 0.7500 0.1250  8 Cl 3.50-3.62
Cs3 0.3750 0.7500 0.6250  8 Cl 3.50-3.62
Cs4 0.2500 0.1250 0.3750  8 Cl 3.50-3.62
Cs5 0.8750 0.1250 0.2500  8 Cl 3.50-3.62
Cs6 0.3750 0.6250 0.2500  8 Cl 3.50-3.62
Cs7 0.6250 0.3750 0.7500  8 Cl 3.50-3.62
Cs8 0.1250 0.8750 0.7500  8 Cl 3.50-3.62
Cs9 0.7500 0.8750 0.6250  8 Cl 3.50-3.62
Cs10 0.6250 0.2500 0.3750  8 Cl 3.50-3.62
Cs11 0.1250 0.2500 0.8750  8 Cl 3.50-3.62
Cs12 0.2500 0.6250 0.8750  8 Cl 3.50-3.62
Cd1 0.1250 0.3750 0.2500  4 Cl 2.55
Cd2 0.0000 0.5000 0.0000  6 Cl 2.75
Cd3 0.0000 0.0000 0.0000  6 Cl 2.75
Cd4 0.3750 0.2500 0.1250  4 Cl 2.55
Cd5 0.5000 0.0000 0.5000  6 Cl 2.75
Cd6 0.5000 0.5000 0.0000  6 Cl 2.75
Cd7 0.1250 0.7500 0.3750  4 Cl 2.55
Cd8 0.7500 0.1250 0.8750  4 Cl 2.55
Cd9 0.7500 0.6250 0.3750  4 Cl 2.55
Cd10 0.3750 0.1250 0.7500  4 Cl 2.55
Cd11 0.6250 0.8750 0.2500  4 Cl 2.55
Cd12 0.5000 0.5000 0.5000  6 Cl 2.75
Cd13 0.5000 0.0000 0.0000  6 Cl 2.75
Cd14 0.0000 0.0000 0.5000  6 Cl 2.75
Cd15 0.2500 0.3750 0.6250  4 Cl 2.55
Cd16 0.2500 0.8750 0.1250  4 Cl 2.55
Cd17 0.0000 0.5000 0.5000  6 Cl 2.75
Cd18 0.8750 0.2500 0.6250  4 Cl 2.55
Cd19 0.6250 0.7500 0.8750  4 Cl 2.55
Cd20 0.8750 0.6250 0.7500  4 Cl 2.55
Cl1 0.6924 0.1074 0.0110  2 Cd 2.55-2.75
Cl2 0.3186 0.5110 0.4036  2 Cd 2.55-2.75
Cl3 0.9890 0.3926 0.3076  2 Cd 2.55-2.75
Cl4 0.5110 0.1924 0.1074  2 Cd 2.55-2.75
Cl5 0.5850 0.6924 0.6814  2 Cd 2.55-2.75
Cl6 0.9890 0.5964 0.1814  2 Cd 2.55-2.75
Cl7 0.3186 0.8076 0.4150  2 Cd 2.55-2.75
Cl8 0.0964 0.9150 0.1074  2 Cd 2.55-2.75
Cl9 0.5964 0.9890 0.6814  2 Cd 2.55-2.75
Cl10 0.6924 0.5850 0.1814  2 Cd 2.55-2.75
Cl11 0.8076 0.4890 0.3926  2 Cd 2.55-2.75
Cl12 0.8186 0.9036 0.0110  2 Cd 2.55-2.75
Cl13 0.1074 0.6924 0.5110  2 Cd 2.55-2.75
Cl14 0.3926 0.4036 0.0850  2 Cd 2.55-2.75
Cl15 0.0850 0.9036 0.3926  2 Cd 2.55-2.75
Cl16 0.4150 0.1074 0.5964  2 Cd 2.55-2.75
Cl17 0.0850 0.1814 0.1924  2 Cd 2.55-2.75
Cl18 0.4890 0.6814 0.0964  2 Cd 2.55-2.75
Cl19 0.8186 0.9150 0.3076  2 Cd 2.55-2.75
Cl20 0.1074 0.4150 0.0964  2 Cd 2.55-2.75
Cl21 0.3926 0.9890 0.8076  2 Cd 2.55-2.75
Cl22 0.5964 0.6074 0.4150  2 Cd 2.55-2.75
Cl23 0.9036 0.8186 0.5110  2 Cd 2.55-2.75
Cl24 0.8076 0.3186 0.9150  2 Cd 2.55-2.75
Cl25 0.4036 0.3926 0.5850  2 Cd 2.55-2.75
Cl26 0.0964 0.1814 0.4890  2 Cd 2.55-2.75
Cl27 0.1924 0.6814 0.0850  2 Cd 2.55-2.75
Cl28 0.1814 0.0850 0.6924  2 Cd 2.55-2.75
Cl29 0.6074 0.0110 0.1924  2 Cd 2.55-2.75
Cl30 0.8926 0.5850 0.9036  2 Cd 2.55-2.75
Cl31 0.5110 0.3186 0.9036  2 Cd 2.55-2.75
Cl32 0.5850 0.8926 0.4036  2 Cd 2.55-2.75
Cl33 0.9150 0.8186 0.8076  2 Cd 2.55-2.75
Cl34 0.9150 0.0964 0.6074  2 Cd 2.55-2.75
Cl35 0.8926 0.3076 0.4890  2 Cd 2.55-2.75
Cl36 0.1814 0.0964 0.9890  2 Cd 2.55-2.75
Cl37 0.6074 0.5964 0.9150  2 Cd 2.55-2.75
Cl38 0.4036 0.0110 0.3186  2 Cd 2.55-2.75
Cl39 0.3076 0.4150 0.8186  2 Cd 2.55-2.75
Cl40 0.1924 0.5110 0.6074  2 Cd 2.55-2.75
Cl41 0.9036 0.0850 0.8926  2 Cd 2.55-2.75
Cl42 0.6814 0.1924 0.5850  2 Cd 2.55-2.75
Cl43 0.4890 0.8076 0.8926  2 Cd 2.55-2.75
Cl44 0.0110 0.4036 0.8186  2 Cd 2.55-2.75
Cl45 0.4150 0.3076 0.3186  2 Cd 2.55-2.75
Cl46 0.0110 0.6074 0.6924  2 Cd 2.55-2.75
Cl47 0.6814 0.4890 0.5964  2 Cd 2.55-2.75
Cl48 0.3076 0.8926 0.9890  2 Cd 2.55-2.75

crystal system	cubic
DOS at the Fermi energy	6.884	states/eV per cell
magnetic moment	0.00	μB per atom
mass density	3.41	g cm⁻³
energy	-55.40	eV/f.u.

***

Compound: CsCd4Cl8
Source: Alexandria
Functional: PBE
Structure: relaxed

Cell lengths 7.6819, 7.6819, 17.6483 Å; angles 90.00, 90.00, 120.00 degrees
Last column: nearest neighbours and their distance in Å.
Fractional positions:
Cs1 0.0000 0.0000 0.0000  6 Cl 3.56
Cs2 0.0000 0.0000 0.5000  6 Cl 3.56
Cd1 0.4974 0.9949 0.2500  6 Cl 2.74-2.77
Cd2 0.5026 0.4974 0.7500  6 Cl 2.74-2.77
Cd3 0.9949 0.4974 0.7500  6 Cl 2.74-2.77
Cd4 0.0051 0.5026 0.2500  6 Cl 2.74-2.77
Cd5 0.4974 0.5026 0.2500  6 Cl 2.74-2.77
Cd6 0.5026 0.0051 0.7500  6 Cl 2.74-2.77
Cd7 0.0000 0.0000 0.2500  6 Cl 2.77
Cd8 0.0000 0.0000 0.7500  6 Cl 2.77
Cl1 0.1680 0.3359 0.8429  3 Cd 2.77
Cl2 0.6641 0.8320 0.8429  3 Cd 2.77
Cl3 0.1680 0.8320 0.8429  3 Cd 2.77
Cl4 0.8320 0.1680 0.3429  3 Cd 2.77
Cl5 0.3359 0.1680 0.1571  3 Cd 2.77
Cl6 0.8320 0.6641 0.3429  3 Cd 2.77
Cl7 0.3359 0.1680 0.3429  3 Cd 2.77
Cl8 0.1680 0.3359 0.6571  3 Cd 2.77
Cl9 0.1680 0.8320 0.6571  3 Cd 2.77
Cl10 0.8320 0.1680 0.1571  3 Cd 2.77
Cl11 0.6667 0.3333 0.6564  3 Cd 2.74
Cl12 0.3333 0.6667 0.1564  3 Cd 2.74
Cl13 0.3333 0.6667 0.3436  3 Cd 2.74
Cl14 0.6667 0.3333 0.8436  3 Cd 2.74
Cl15 0.6641 0.8320 0.6571  3 Cd 2.77
Cl16 0.8320 0.6641 0.1571  3 Cd 2.77

crystal system	hexagonal
DOS at the Fermi energy	5.456	states/eV per cell
magnetic moment	0.00	μB per atom
mass density	3.19	g cm⁻³
energy	-32.78	eV/f.u.

***

Compound: Cs4Cd2Cl
Source: Alexandria
Functional: PBE
Structure: relaxed

Cell lengths 7.1568, 7.1568, 10.2610 Å; angles 69.59, 69.59, 90.00 degrees
Last column: nearest neighbours and their distance in Å.
Fractional positions:
Cs1 0.8084 0.8084 0.3832  1 Cl 3.42
Cs2 0.1916 0.1916 0.6168  1 Cl 3.42
Cs3 0.0000 0.5000 0.0000  2 Cl 3.58, 4 Cd 3.89
Cs4 0.5000 0.0000 0.0000  2 Cl 3.58, 4 Cd 3.89
Cl1 0.0000 0.0000 0.0000  6 Cs 3.42-3.58
Cd1 0.5856 0.5856 0.8289  1 Cd 3.06
Cd2 0.4144 0.4144 0.1711  1 Cd 3.06

crystal system	tetragonal
DOS at the Fermi energy	4.611	states/eV per cell
magnetic moment	0.00	μB per atom
mass density	2.88	g cm⁻³
energy	-10.64	eV/f.u.

***

Compound: Cs6CdCl8
Source: Alexandria
Functional: PBE
Structure: relaxed

Cell lengths 8.8554, 8.8554, 8.8554 Å; angles 69.42, 69.42, 69.42 degrees
Last column: nearest neighbours and their distance in Å.
Fractional positions:
Cs1 0.0601 0.4856 0.7019  6 Cl 3.43-3.64
Cs2 0.2981 0.9399 0.5144  6 Cl 3.43-3.64
Cs3 0.5144 0.2981 0.9399  6 Cl 3.43-3.64
Cs4 0.4856 0.7019 0.0601  6 Cl 3.43-3.64
Cs5 0.7019 0.0601 0.4856  6 Cl 3.43-3.64
Cs6 0.9399 0.5144 0.2981  6 Cl 3.43-3.64
Cd1 0.0000 0.0000 0.0000  6 Cl 2.73
Cl1 0.1501 0.7058 0.9109  1 Cd 2.73
Cl2 0.0891 0.8499 0.2942  1 Cd 2.73
Cl3 0.2942 0.0891 0.8499  1 Cd 2.73
Cl4 0.6533 0.6533 0.6533  6 Cs 3.50-3.57
Cl5 0.3467 0.3467 0.3467  6 Cs 3.50-3.57
Cl6 0.7058 0.9109 0.1501  1 Cd 2.73
Cl7 0.9109 0.1501 0.7058  1 Cd 2.73
Cl8 0.8499 0.2942 0.0891  1 Cd 2.73

crystal system	trigonal
DOS at the Fermi energy	0.000	states/eV per cell
magnetic moment	0.01	μB per atom
mass density	3.37	g cm⁻³
energy	-47.50	eV/f.u.

***

Compound: CsCdCl3
Source: Alexandria
Functional: PBE
Structure: relaxed

Cell lengths 6.6317, 7.5115, 7.5115 Å; angles 120.04, 90.00, 90.00 degrees
Last column: nearest neighbours and their distance in Å.
Fractional positions:
Cs1 0.2500 0.6668 0.3332  12 Cl 3.75-4.00
Cs2 0.7500 0.3332 0.6668  12 Cl 3.75-4.00
Cl1 0.7500 0.8388 0.6779  2 Cd 2.67
Cl2 0.2500 0.6779 0.8388  2 Cd 2.67
Cl3 0.2500 0.1609 0.8391  2 Cd 2.67
Cl4 0.7500 0.8391 0.1609  2 Cd 2.67
Cl5 0.7500 0.3221 0.1612  2 Cd 2.67
Cl6 0.2500 0.1612 0.3221  2 Cd 2.67
Cd1 0.0000 0.0000 0.0000  6 Cl 2.67
Cd2 0.5000 0.0000 0.0000  6 Cl 2.67

crystal system	hexagonal
DOS at the Fermi energy	0.000	states/eV per cell
magnetic moment	0.00	μB per atom
mass density	3.61	g cm⁻³
energy	-14.76	eV/f.u.

***

The lowest energy belongs to which entry? Cs3Cd5Cl12

***

Number 8 is which compound? CsCdCl3

***

The highest magnetic moment belongs to which entry? Cs6CdCl8

***

Repeat the second record exactly.
Compound: CsCd5Cl11
Source: Alexandria
Functional: PBE
Structure: relaxed

Cell lengths 8.2701, 8.6412, 8.6412 Å; angles 109.46, 104.02, 104.02 degrees
Last column: nearest neighbours and their distance in Å.
Fractional positions:
Cs1 0.0000 0.0000 0.0000  8 Cl 3.61-3.90
Cd1 0.6291 0.0797 0.3692  4 Cl 2.50-2.70
Cd2 0.3709 0.9203 0.6308  4 Cl 2.50-2.70
Cd3 0.3709 0.6308 0.9203  4 Cl 2.50-2.70
Cd4 0.6291 0.3692 0.0797  4 Cl 2.50-2.70
Cd5 0.0000 0.5000 0.5000  6 Cl 2.63-2.76
Cl1 0.3662 0.6047 0.6047  3 Cd 2.65-2.76
Cl2 0.6338 0.3953 0.3953  3 Cd 2.65-2.76
Cl3 0.6732 0.1316 0.7048  2 Cd 2.50-2.70
Cl4 0.3268 0.8684 0.2952  2 Cd 2.50-2.70
Cl5 0.3268 0.2952 0.8684  2 Cd 2.50-2.70
Cl6 0.6732 0.7048 0.1316  2 Cd 2.50-2.70
Cl7 0.5000 0.0000 0.0000  4 Cd 2.88
Cl8 0.0436 0.8322 0.5760  2 Cd 2.50-2.63
Cl9 0.9564 0.1678 0.4240  2 Cd 2.50-2.63
Cl10 0.9564 0.4240 0.1678  2 Cd 2.50-2.63
Cl11 0.0436 0.5760 0.8322  2 Cd 2.50-2.63

crystal system	monoclinic
DOS at the Fermi energy	0.000	states/eV per cell
magnetic moment	0.00	μB per atom
mass density	3.41	g cm⁻³
energy	-45.65	eV/f.u.